First-principles (GGA-PBE) data for a relaxed BC crystal, as listed in Alexandria.

abc: 7.0553 7.0553 4.7881
angles: 105.56 105.56 20.78
Sites, in units of the cell vectors:
B  0.0000  0.0000  0.0000
B  0.1807  0.1807  0.8663
B  0.3922  0.3922  0.4160
B  0.5204  0.5204  0.6018
B  0.5634  0.5634  0.2590
B  0.8378  0.8378  0.1600
C  0.0603  0.0603  0.7550
C  0.2252  0.2252  0.5731
C  0.3431  0.3431  0.7025
C  0.6860  0.6860  0.3864
C  0.7197  0.7197  0.1003
C  0.8802  0.8802  0.8778

Magnetization ... 0.000 μB per atom
DOS at the Fermi energy ... 2.4 states/eV/cell
Calculated total energy ... -7.514 eV per atom
Energy of formation from the pure elements ... 42.2 kJ per mole of atoms
Space-group type ... No. 8
Crystal system ... monoclinic
Offset from the most stable computed form ... 286 meV per atom